1.
Material: KCd2Tc
Method: DFT, GGA-PBEsol
State: relaxed

formation enthalpy at 0 K = 0.54 eV/atom

The structure in CIF format:
```
data_KCd2Tc
_chemical_formula_sum 'K1 Cd2 Tc1'
_cell_length_a 2.8726
_cell_length_b 2.8726
_cell_length_c 10.0721
_cell_angle_alpha 90.00
_cell_angle_beta 90.00
_cell_angle_gamma 90.00
_space_group_name_H-M_alt 'P 4/m m m'
_space_group_IT_number 123
_space_group_name_Hall '-P 4 2'
loop_
_atom_site_label
_atom_site_fract_x
_atom_site_fract_y
_atom_site_fract_z
K1 0.0000 0.0000 0.0000
Cd1 0.5000 0.5000 0.2930
Tc1 0.0000 0.0000 0.5000
```

2.
Material: AgHg2P
Method: DFT, GGA-PBEsol
State: relaxed

formation enthalpy at 0 K = 0.25 eV/atom

The structure in CIF format:
```
data_AgHg2P
_chemical_formula_sum 'Ag1 Hg2 P1'
_cell_length_a 2.9162
_cell_length_b 5.3134
_cell_length_c 5.1657
_cell_angle_alpha 90.00
_cell_angle_beta 90.00
_cell_angle_gamma 90.00
_space_group_name_H-M_alt 'P m m 2'
_space_group_IT_number 25
loop_
_space_group_symop_operation_xyz
'x,y,z'
'-x,-y,z'
'-x,y,z'
'x,-y,z'
loop_
_atom_site_label
_atom_site_fract_x
_atom_site_fract_y
_atom_site_fract_z
Ag1 0.0000 0.0000 0.0000
Hg1 0.0000 0.5000 0.4990
Hg2 0.5000 0.0000 0.5002
P1 0.0000 0.5000 0.9991
```

3.
Material: YSiIr
Method: DFT, GGA-PBEsol
State: relaxed

VASP energy = -8.578 eV per atom

The structure in CIF format:
```
data_YSiIr
_chemical_formula_sum 'Y4 Si4 Ir4'
_cell_length_a 6.7943
_cell_length_b 4.1935
_cell_length_c 7.3614
_cell_angle_alpha 90.00
_cell_angle_beta 90.00
_cell_angle_gamma 90.00
_space_group_name_H-M_alt 'P n m a'
_space_group_IT_number 62
loop_
_space_group_symop_operation_xyz
'x,y,z'
'-x,-y,-z'
'-x+1/2,-y,z+1/2'
'x+1/2,y,-z+1/2'
'x+1/2,-y+1/2,-z+1/2'
'-x+1/2,y+1/2,z+1/2'
'-x,y+1/2,-z'
'x,-y+1/2,z'
loop_
_atom_site_label
_atom_site_fract_x
_atom_site_fract_y
_atom_site_fract_z
Y1 0.0014 0.2500 0.1864
Si1 0.2017 0.7500 0.3898
Ir1 0.1566 0.2500 0.5675
```

4.
Material: Ba3Au
Method: DFT, GGA-PBEsol
State: relaxed

formation enthalpy at 0 K = -0.29 eV/atom

The structure in CIF format:
```
data_Ba3Au
_chemical_formula_sum 'Ba6 Au2'
_cell_length_a 4.1323
_cell_length_b 6.2199
_cell_length_c 13.4616
_cell_angle_alpha 90.00
_cell_angle_beta 90.00
_cell_angle_gamma 90.00
_space_group_name_H-M_alt 'I m m m'
_space_group_IT_number 71
_space_group_name_Hall '-I 2 2'
loop_
_atom_site_label
_atom_site_fract_x
_atom_site_fract_y
_atom_site_fract_z
Ba1 0.0000 0.0000 0.0000
Ba2 0.0000 0.5000 0.1824
Au1 0.0000 0.0000 0.5000
```

5.
Material: Cd2CoSe
Method: DFT, GGA-PBEsol
State: relaxed

VASP energy = -3.498 eV per atom

The structure in CIF format:
```
data_Cd2CoSe
_chemical_formula_sum 'Cd4 Co2 Se2'
_cell_length_a 3.0057
_cell_length_b 4.1745
_cell_length_c 11.8090
_cell_angle_alpha 90.00
_cell_angle_beta 90.00
_cell_angle_gamma 90.00
_space_group_name_H-M_alt 'A m m 2'
_space_group_IT_number 38
loop_
_space_group_symop_operation_xyz
'x,y,z'
'-x,-y,z'
'-x,y,z'
'x,-y,z'
'x,y+1/2,z+1/2'
'-x,-y+1/2,z+1/2'
'-x,y+1/2,z+1/2'
'x,-y+1/2,z+1/2'
loop_
_atom_site_label
_atom_site_fract_x
_atom_site_fract_y
_atom_site_fract_z
Cd1 0.0000 0.0000 0.0000
Cd2 0.5000 0.0000 0.3374
Co1 0.0000 0.0000 0.7803
Se1 0.5000 0.0000 0.6368
```

6.
Material: SrBe3Ir
Method: DFT, GGA-PBEsol
State: relaxed

formation enthalpy at 0 K = -0.16 eV/atom

The structure in CIF format:
```
data_SrBe3Ir
_chemical_formula_sum 'Sr1 Be3 Ir1'
_cell_length_a 4.3632
_cell_length_b 4.3632
_cell_length_c 4.3632
_cell_angle_alpha 90.00
_cell_angle_beta 90.00
_cell_angle_gamma 90.00
_space_group_name_H-M_alt 'P m -3 m'
_space_group_IT_number 221
_space_group_name_Hall '-P 4 2 3'
loop_
_atom_site_label
_atom_site_fract_x
_atom_site_fract_y
_atom_site_fract_z
Sr1 0.0000 0.0000 0.0000
Be1 0.0000 0.5000 0.5000
Ir1 0.5000 0.5000 0.5000
```

7.
Material: Be2RuPt
Method: DFT, GGA-PBEsol
State: relaxed

formation enthalpy at 0 K = -0.51 eV/atom

The structure in CIF format:
```
data_Be2RuPt
_chemical_formula_sum 'Be8 Ru4 Pt4'
_cell_length_a 5.5620
_cell_length_b 5.5620
_cell_length_c 5.5620
_cell_angle_alpha 90.00
_cell_angle_beta 90.00
_cell_angle_gamma 90.00
_space_group_name_H-M_alt 'F m -3 m'
_space_group_IT_number 225
_space_group_name_Hall '-F 4 2 3'
loop_
_atom_site_label
_atom_site_fract_x
_atom_site_fract_y
_atom_site_fract_z
Be1 0.2500 0.2500 0.2500
Ru1 0.0000 0.0000 0.0000
Pt1 0.0000 0.0000 0.5000
```

8.
Material: AlZnW2
Method: DFT, GGA-PBEsol
State: relaxed

formation enthalpy at 0 K = 0.16 eV/atom

The structure in CIF format:
```
data_AlZnW2
_chemical_formula_sum 'Al2 Zn2 W4'
_cell_length_a 4.2402
_cell_length_b 3.2786
_cell_length_c 8.5500
_cell_angle_alpha 90.00
_cell_angle_beta 90.15
_cell_angle_gamma 90.00
_space_group_name_H-M_alt 'C 1 2/m 1'
_space_group_IT_number 12
loop_
_space_group_symop_operation_xyz
'x,y,z'
'-x,-y,-z'
'-x,y,-z'
'x,-y,z'
'x+1/2,y+1/2,z'
'-x+1/2,-y+1/2,-z'
'-x+1/2,y+1/2,-z'
'x+1/2,-y+1/2,z'
loop_
_atom_site_label
_atom_site_fract_x
_atom_site_fract_y
_atom_site_fract_z
Al1 0.0000 0.0000 0.0000
Zn1 0.0000 0.0000 0.5000
W1 0.0026 0.5000 0.2488
```

Short version: N(E_F) = 4.375 1.261 1.277 3.735 2.393 1.905 3.222 2.197 states/eV/f.u., in the order given.